No. 1
Density functional theory data (GGA-PBEsol) for a relaxed structure of KSrOs3.

For the energy of formation, the calculation gives 3.2698 eV/atom.

The structure belongs to space group Pm-3m (No. 221); the cell edges are 4.705, 4.705 and 4.705 Å and the angles 90.00°, 90.00° and 90.00°. The distinct sites, in fractional coordinates, are K at (0.000, 0.000, 0.000), Sr at (0.500, 0.500, 0.500) and Os at (0.000, 0.000, 0.500).


No. 2
Density functional theory data (GGA-PBEsol) for a relaxed structure of Li4Mn2Cu3O10.

The formation energy (no corrections) comes out at -1374.3 meV/atom.

The structure belongs to space group P-1 (No. 2); the cell edges are 4.963, 5.207 and 7.464 Å and the angles 104.94°, 102.46° and 105.13°. The distinct sites, in fractional coordinates, are Li at (0.102, 0.206, 0.222), Li at (0.279, 0.590, 0.600), Mn at (0.403, 0.820, 0.311), Cu at (0.195, 0.379, 0.894), Cu at (0.500, 0.000, 0.000), O at (0.058, 0.600, 0.326), O at (0.160, 0.834, 0.076), O at (0.290, 0.983, 0.761), O at (0.382, 0.171, 0.456) and O at (0.445, 0.472, 0.161).


| no. | E (eV per atom) |
| --- | --- |
| 1 | -4.654 |
| 2 | -6.263 |